VASP calculation (PBE) on a geometry-optimized K2Hg2Cl structure.

a b c (Å): 6.6453 6.6453 9.7214
angles (deg): 90.00 90.00 90.00
Last column: nearest neighbours and their distance in Å.
Atoms (fractional coordinates):
1 K 0.0000 0.5000 0.2500  4 Hg 3.45
2 K 0.0000 0.5000 0.7500  4 Hg 3.45
3 K 0.5000 0.0000 0.2500  4 Hg 3.45
4 K 0.5000 0.0000 0.7500  4 Hg 3.45
5 Hg 0.0000 0.0000 0.1549  1 Hg 3.01, 1 Cl 3.35
6 Hg 0.0000 0.0000 0.8451  1 Hg 3.01, 1 Cl 3.35
7 Hg 0.5000 0.5000 0.3451  1 Hg 3.01, 1 Cl 3.35
8 Hg 0.5000 0.5000 0.6549  1 Hg 3.01, 1 Cl 3.35
9 Cl 0.0000 0.0000 0.5000  2 Hg 3.35
10 Cl 0.5000 0.5000 0.0000  2 Hg 3.35

crystal system: tetragonal
symmetry: No. 139
offset from the most stable computed form: 0.195 eV per atom
DFT total energy: -1.47 eV/atom

***

VASP calculation (PBE) on a geometry-optimized K2HgCl structure.

a b c (Å): 4.7725 6.9246 4.7768
angles (deg): 90.00 90.07 90.00
Last column: nearest neighbours and their distance in Å.
Atoms (fractional coordinates):
1 K 0.0000 0.0000 0.0000  4 Hg 3.37-3.38, 2 Cl 3.46
2 K 0.4896 0.5000 0.5015  4 Cl 3.36-3.39, 2 Hg 3.46
3 Hg 0.5009 0.0000 0.5000  6 K 3.37-3.46
4 Cl 0.9924 0.5000 0.0016  6 K 3.36-3.46

crystal system: monoclinic
symmetry: No. 6
offset from the most stable computed form: 0.097 eV per atom
DFT total energy: -1.99 eV/atom

***

VASP calculation (PBE) on a geometry-optimized KHg5Cl11 structure.

a b c (Å): 9.6540 9.6540 6.7573
angles (deg): 107.27 107.27 102.10
Last column: nearest neighbours and their distance in Å.
Atoms (fractional coordinates):
1 K 0.0000 0.0000 0.0000  6 Cl 3.38-3.61
2 Hg 0.0241 0.3475 0.6788  2 Cl 2.33-2.34
3 Hg 0.3475 0.0241 0.6788  2 Cl 2.33-2.34
4 Hg 0.5000 0.5000 0.0000  2 Cl 2.34
5 Hg 0.6525 0.9759 0.3212  2 Cl 2.33-2.34
6 Hg 0.9759 0.6525 0.3212  2 Cl 2.33-2.34
7 Cl 0.0000 0.0000 0.5000  4 Hg 3.14, 2 K 3.38
8 Cl 0.1261 0.7095 0.6967  1 Hg 2.34
9 Cl 0.1672 0.4151 0.0582  1 Hg 2.33
10 Cl 0.2905 0.8739 0.3033  1 Hg 2.34
11 Cl 0.3572 0.3572 0.6174  1 Hg 2.34
12 Cl 0.4151 0.1672 0.0582  1 Hg 2.33
13 Cl 0.5849 0.8328 0.9418  1 Hg 2.33
14 Cl 0.6428 0.6428 0.3826  1 Hg 2.34
15 Cl 0.7095 0.1261 0.6967  1 Hg 2.34
16 Cl 0.8328 0.5849 0.9418  1 Hg 2.33
17 Cl 0.8739 0.2905 0.3033  1 Hg 2.34

crystal system: monoclinic
symmetry: No. 12
DFT total energy: -2.11 eV/atom

***

VASP calculation (PBE) on a geometry-optimized KHgCl3 structure.

a b c (Å): 11.3730 11.3730 8.0650
angles (deg): 90.02 90.02 131.62
Last column: nearest neighbours and their distance in Å.
Atoms (fractional coordinates):
1 K 0.1574 0.3396 0.1989  6 Cl 3.10-3.29
2 K 0.3396 0.1574 0.6989  6 Cl 3.10-3.29
3 K 0.6604 0.8426 0.3011  6 Cl 3.10-3.29
4 K 0.8426 0.6604 0.8011  6 Cl 3.10-3.29
5 Hg 0.1247 0.8753 0.2500  2 Cl 2.40
6 Hg 0.3712 0.6288 0.7500  2 Cl 2.38
7 Hg 0.6288 0.3712 0.2500  2 Cl 2.38
8 Hg 0.8753 0.1247 0.7500  2 Cl 2.40
9 Cl 0.1251 0.8196 0.5373  1 Hg 2.40
10 Cl 0.1804 0.8749 0.9627  1 Hg 2.40
11 Cl 0.1955 0.3006 0.8037  2 Hg 2.79-2.87, 1 K 3.10
12 Cl 0.3006 0.1955 0.3037  2 Hg 2.79-2.87, 1 K 3.10
13 Cl 0.3213 0.6261 0.4623  1 Hg 2.38
14 Cl 0.3739 0.6787 0.0377  1 Hg 2.38
15 Cl 0.6261 0.3213 0.9623  1 Hg 2.38
16 Cl 0.6787 0.3739 0.5377  1 Hg 2.38
17 Cl 0.6994 0.8045 0.6963  2 Hg 2.79-2.87, 1 K 3.10
18 Cl 0.8045 0.6994 0.1963  2 Hg 2.79-2.87, 1 K 3.10
19 Cl 0.8196 0.1251 0.0373  1 Hg 2.40
20 Cl 0.8749 0.1804 0.4627  1 Hg 2.40

crystal system: monoclinic
symmetry: No. 15
DFT total energy: -2.53 eV/atom

***

VASP calculation (PBE) on a geometry-optimized KLiHg2Cl6 structure.

a b c (Å): 6.9631 6.9648 8.1959
angles (deg): 64.87 64.89 60.03
Last column: nearest neighbours and their distance in Å.
Atoms (fractional coordinates):
1 K 0.0000 0.0000 0.0000  6 Cl 3.16
2 Li 0.5004 0.4994 0.5003  6 Cl 2.61-2.62
3 Hg 0.2253 0.2241 0.3263  3 Cl 2.47
4 Hg 0.7755 0.7753 0.6735  3 Cl 2.47
5 Cl 0.1264 0.7411 0.7097  1 Hg 2.47, 1 Li 2.62
6 Cl 0.2588 0.5774 0.2902  1 Hg 2.47, 1 Li 2.62
7 Cl 0.4223 0.1261 0.7089  1 Hg 2.47, 1 Li 2.61
8 Cl 0.5777 0.8732 0.2900  1 Hg 2.47, 1 Li 2.61
9 Cl 0.7406 0.4225 0.7102  1 Hg 2.47, 1 Li 2.61
10 Cl 0.8739 0.2586 0.2903  1 Hg 2.47, 1 Li 2.61

crystal system: triclinic
symmetry: No. 1
DFT total energy: -2.56 eV/atom

***

VASP calculation (PBE) on a geometry-optimized KLi2HgCl6 structure.

a b c (Å): 9.6321 9.6321 7.9502
angles (deg): 108.00 108.00 95.04
Last column: nearest neighbours and their distance in Å.
Atoms (fractional coordinates):
1 K 0.1000 0.9000 0.7500  6 Cl 3.18-3.21
2 K 0.9000 0.1000 0.2500  6 Cl 3.18-3.21
3 Li 0.2526 0.4182 0.8941  4 Cl 2.36-2.42
4 Li 0.4182 0.2526 0.3941  4 Cl 2.36-2.42
5 Li 0.5818 0.7474 0.6059  4 Cl 2.36-2.42
6 Li 0.7474 0.5818 0.1059  4 Cl 2.36-2.42
7 Hg 0.2030 0.7970 0.2500  4 Cl 2.46-2.68
8 Hg 0.7970 0.2030 0.7500  4 Cl 2.46-2.68
9 Cl 0.0591 0.2096 0.6978  1 Li 2.36
10 Cl 0.1533 0.6396 0.9205  1 Li 2.39, 1 Hg 2.46
11 Cl 0.2096 0.0591 0.1978  1 Li 2.36
12 Cl 0.3604 0.8467 0.5795  1 Li 2.39, 1 Hg 2.46
13 Cl 0.3699 0.4068 0.2011  2 Li 2.39-2.42, 1 Cl 2.64
14 Cl 0.4068 0.3699 0.7011  2 Li 2.39-2.42, 1 Cl 2.64
15 Cl 0.5932 0.6301 0.2989  2 Li 2.39-2.42, 1 Cl 2.64
16 Cl 0.6301 0.5932 0.7989  2 Li 2.39-2.42, 1 Cl 2.64
17 Cl 0.6396 0.1533 0.4205  1 Li 2.39, 1 Hg 2.46
18 Cl 0.7904 0.9409 0.8022  1 Li 2.36
19 Cl 0.8467 0.3604 0.0795  1 Li 2.39, 1 Hg 2.46
20 Cl 0.9409 0.7904 0.3022  1 Li 2.36

crystal system: monoclinic
symmetry: No. 15
DFT total energy: -2.86 eV/atom

***

VASP calculation (PBE) on a geometry-optimized KLiHgCl4 structure.

a b c (Å): 6.5022 7.2217 8.5600
angles (deg): 90.00 100.20 90.00
Last column: nearest neighbours and their distance in Å.
Atoms (fractional coordinates):
1 K 0.2257 0.2500 0.0787  6 Cl 3.20-3.47, 1 Li 3.53
2 K 0.7743 0.7500 0.9213  6 Cl 3.20-3.47, 1 Li 3.53
3 Li 0.3140 0.2500 0.6838  4 Cl 2.35-2.43
4 Li 0.6860 0.7500 0.3162  4 Cl 2.35-2.43
5 Hg 0.2030 0.7500 0.3723  4 Cl 2.45-2.73
6 Hg 0.7970 0.2500 0.6277  4 Cl 2.45-2.73
7 Cl 0.0740 0.0062 0.7277  1 Li 2.43, 1 Hg 2.56
8 Cl 0.0740 0.4938 0.7277  1 Li 2.43, 1 Hg 2.56
9 Cl 0.3924 0.7500 0.1119  1 Li 2.35
10 Cl 0.4610 0.2500 0.4447  1 Li 2.41, 1 Hg 2.45
11 Cl 0.5390 0.7500 0.5553  1 Li 2.41, 1 Hg 2.45
12 Cl 0.6076 0.2500 0.8881  1 Li 2.35
13 Cl 0.9260 0.5062 0.2723  1 Li 2.43, 1 Hg 2.56
14 Cl 0.9260 0.9938 0.2723  1 Li 2.43, 1 Hg 2.56

crystal system: monoclinic
symmetry: No. 11
DFT total energy: -2.83 eV/atom

***

VASP calculation (PBE) on a geometry-optimized K3Mg2HgCl9 structure.

a b c (Å): 7.2335 7.2335 8.9232
angles (deg): 90.00 90.00 120.00
Last column: nearest neighbours and their distance in Å.
Atoms (fractional coordinates):
1 K 0.0000 0.0000 0.0000  12 Cl 3.61-3.62
2 K 0.3333 0.6667 0.6662  12 Cl 3.62-3.66
3 K 0.6667 0.3333 0.3338  12 Cl 3.62-3.66
4 Mg 0.3333 0.6667 0.1564  6 Cl 2.51
5 Mg 0.6667 0.3333 0.8436  6 Cl 2.51
6 Hg 0.0000 0.0000 0.5000  6 Cl 2.67
7 Cl 0.0000 0.5000 0.0000  2 Mg 2.51
8 Cl 0.1722 0.3443 0.3242  1 Mg 2.51, 1 Hg 2.67
9 Cl 0.1722 0.8278 0.3242  1 Mg 2.51, 1 Hg 2.67
10 Cl 0.3443 0.1722 0.6758  1 Mg 2.51, 1 Hg 2.67
11 Cl 0.5000 0.0000 0.0000  2 Mg 2.51
12 Cl 0.5000 0.5000 0.0000  2 Mg 2.51
13 Cl 0.6557 0.8278 0.3242  1 Mg 2.51, 1 Hg 2.67
14 Cl 0.8278 0.1722 0.6758  1 Mg 2.51, 1 Hg 2.67
15 Cl 0.8278 0.6557 0.6758  1 Mg 2.51, 1 Hg 2.67

crystal system: trigonal
symmetry: No. 164
DFT total energy: -3.17 eV/atom

***

VASP calculation (PBE) on a geometry-optimized KMgHgCl5 structure.

a b c (Å): 7.4024 7.4024 9.5028
angles (deg): 102.44 102.44 108.01
Last column: nearest neighbours and their distance in Å.
Atoms (fractional coordinates):
1 K 0.1674 0.8326 0.7500  7 Cl 3.20-3.40
2 K 0.8326 0.1674 0.2500  7 Cl 3.20-3.40
3 Mg 0.5000 0.5000 0.0000  6 Cl 2.49-2.59
4 Mg 0.5000 0.5000 0.5000  6 Cl 2.49-2.59
5 Hg 0.1850 0.8150 0.2500  4 Cl 2.53-2.55
6 Hg 0.8150 0.1850 0.7500  4 Cl 2.53-2.55
7 Cl 0.1418 0.2497 0.9464  1 Hg 2.55, 1 Mg 2.59
8 Cl 0.1953 0.5877 0.4133  1 Hg 2.53, 1 Mg 2.55
9 Cl 0.2497 0.1418 0.4464  1 Hg 2.55, 1 Mg 2.59
10 Cl 0.4123 0.8047 0.0867  1 Hg 2.53, 1 Mg 2.55
11 Cl 0.4379 0.5621 0.7500  2 Mg 2.49
12 Cl 0.5621 0.4379 0.2500  2 Mg 2.49
13 Cl 0.5877 0.1953 0.9133  1 Hg 2.53, 1 Mg 2.55
14 Cl 0.7503 0.8582 0.5536  1 Hg 2.55, 1 Mg 2.59
15 Cl 0.8047 0.4123 0.5867  1 Hg 2.53, 1 Mg 2.55
16 Cl 0.8582 0.7503 0.0536  1 Hg 2.55, 1 Mg 2.59

crystal system: monoclinic
symmetry: No. 15
DFT total energy: -2.93 eV/atom

***

VASP calculation (PBE) on a geometry-optimized KMg2HgCl8 structure.

a b c (Å): 6.0910 7.8234 6.7325
angles (deg): 90.00 96.22 90.00
Last column: nearest neighbours and their distance in Å.
Atoms (fractional coordinates):
1 K 0.0000 0.0000 0.0000  6 Cl 2.92-3.22
2 Mg 0.5000 0.2539 0.5000  6 Cl 2.53-2.59
3 Mg 0.5000 0.7461 0.5000  6 Cl 2.53-2.59
4 Hg 0.0000 0.5000 0.0000  4 Cl 2.59
5 Cl 0.2604 0.5000 0.6178  2 Mg 2.59
6 Cl 0.2831 0.2793 0.1593  1 Mg 2.53, 1 Hg 2.59
7 Cl 0.2831 0.7207 0.1593  1 Mg 2.53, 1 Hg 2.59
8 Cl 0.2907 0.0000 0.6279  2 Mg 2.56
9 Cl 0.7093 0.0000 0.3721  2 Mg 2.56
10 Cl 0.7169 0.2793 0.8407  1 Mg 2.53, 1 Hg 2.59
11 Cl 0.7169 0.7207 0.8407  1 Mg 2.53, 1 Hg 2.59
12 Cl 0.7396 0.5000 0.3822  2 Mg 2.59

crystal system: monoclinic
symmetry: No. 10
DFT total energy: -2.88 eV/atom